Record 1
Density functional theory data (GGA-PBE) for a relaxed ScSi2Pt crystal.

```
data_ScSi2Pt
_cell_length_a 4.468
_cell_length_b 4.468
_cell_length_c 4.468
_cell_angle_alpha 60.00
_cell_angle_beta 60.00
_cell_angle_gamma 60.00
_symmetry_space_group_name_H-M 'P 1'
_symmetry_Int_Tables_number 1
loop_
_symmetry_equiv_pos_as_xyz
'x,y,z'
loop_
_atom_site_label
_atom_site_type_symbol
_atom_site_fract_x
_atom_site_fract_y
_atom_site_fract_z
Sc1 Sc 0.000 0.000 0.000
Si1 Si 0.250 0.250 0.250
Si2 Si 0.750 0.750 0.750
Pt1 Pt 0.500 0.500 0.500
```

Summary:
calculated total energy: -24.77 eV/cell
formation energy from raw total energies: -387 meV per atom



Record 2
Density functional theory data (GGA-PBE) for a relaxed ScSi2Pt crystal.

```
data_ScSi2Pt
_cell_length_a 8.507
_cell_length_b 8.507
_cell_length_c 8.507
_cell_angle_alpha 20.44
_cell_angle_beta 20.44
_cell_angle_gamma 20.44
_symmetry_space_group_name_H-M 'P 1'
_symmetry_Int_Tables_number 1
loop_
_symmetry_equiv_pos_as_xyz
'x,y,z'
loop_
_atom_site_label
_atom_site_type_symbol
_atom_site_fract_x
_atom_site_fract_y
_atom_site_fract_z
Pt1 Pt 0.250 0.250 0.250
Sc1 Sc 0.750 0.750 0.750
Si1 Si 0.993 0.993 0.993
Si2 Si 0.507 0.507 0.507
```

Summary:
calculated total energy: -24.22 eV/cell
formation energy from raw total energies: -249 meV per atom



Record 3
Density functional theory data (GGA-PBE) for a relaxed ScSi2Pt crystal.

```
data_ScSi2Pt
_cell_length_a 3.878
_cell_length_b 5.452
_cell_length_c 3.768
_cell_angle_alpha 69.79
_cell_angle_beta 89.98
_cell_angle_gamma 110.83
_symmetry_space_group_name_H-M 'P 1'
_symmetry_Int_Tables_number 1
loop_
_symmetry_equiv_pos_as_xyz
'x,y,z'
loop_
_atom_site_label
_atom_site_type_symbol
_atom_site_fract_x
_atom_site_fract_y
_atom_site_fract_z
Pt1 Pt 0.000 0.500 0.500
Sc1 Sc 0.500 0.500 0.000
Si1 Si 0.000 0.000 0.000
Si2 Si 0.500 0.000 0.500
```

Summary:
calculated total energy: -24.77 eV/cell
formation energy from raw total energies: -387 meV per atom



Record 4
Density functional theory data (GGA-PBE) for a relaxed ScSi2Pt crystal.

```
data_ScSi2Pt
_cell_length_a 5.385
_cell_length_b 5.385
_cell_length_c 5.385
_cell_angle_alpha 149.45
_cell_angle_beta 122.34
_cell_angle_gamma 66.66
_symmetry_space_group_name_H-M 'P 1'
_symmetry_Int_Tables_number 1
loop_
_symmetry_equiv_pos_as_xyz
'x,y,z'
loop_
_atom_site_label
_atom_site_type_symbol
_atom_site_fract_x
_atom_site_fract_y
_atom_site_fract_z
Pt1 Pt 0.250 0.750 0.500
Sc1 Sc 0.750 0.250 0.500
Si1 Si 0.020 0.020 0.000
Si2 Si 0.480 0.480 0.000
```

Summary:
calculated total energy: -24.97 eV/cell
formation energy from raw total energies: -439 meV per atom



Number 1: magnetization 0.000 μB/atom. Number 2: magnetization 0.001 μB/atom. Number 3: magnetization 0.000 μB/atom. Number 4: magnetization 0.004 μB/atom.